A plane-wave DFT calculation with PBE-GGA was carried out for PmCuB after structural relaxation.

Space-group type: F-43m (216)
Spin magnetization: 0.00 μB/f.u.
Energy relative to the lowest polymorph listed for this composition: 711 meV per atom
E_tot: -4.13 eV per atom

Lattice parameters (Å, degrees): 4.4316 4.4316 4.4316 60.00 60.00 60.00
Fractional coordinates of all 3 atoms:
Pm  0.0000  0.0000  0.0000
Cu  0.2500  0.2500  0.2500
B  0.7500  0.7500  0.7500


A plane-wave DFT calculation with PBE-GGA was carried out for CuBPt2 after structural relaxation.

Space-group type: Cmcm (63)
Spin magnetization: 0.00 μB/f.u.
E_tot: -5.85 eV per atom

Lattice parameters (Å, degrees): 5.8139 5.8139 5.5285 90.00 90.00 146.96
Fractional coordinates of all 8 atoms:
Cu  0.0023  0.9977  0.7500
Cu  0.9977  0.0023  0.2500
B  0.2008  0.7992  0.2500
B  0.7992  0.2008  0.7500
Pt  0.3554  0.6446  0.0002
Pt  0.3554  0.6446  0.4998
Pt  0.6446  0.3554  0.9998
Pt  0.6446  0.3554  0.5002


A plane-wave DFT calculation with PBE-GGA was carried out for CuB2Pt2 after structural relaxation.

Space-group type: I4/mmm (139)
Spin magnetization: 0.00 μB/f.u.
E_tot: -5.97 eV per atom

Lattice parameters (Å, degrees): 6.2772 6.2772 6.2772 150.82 150.82 41.74
Fractional coordinates of all 5 atoms:
Cu  0.0000  0.0000  0.0000
B  0.2500  0.7500  0.5000
B  0.7500  0.2500  0.5000
Pt  0.3739  0.3739  0.0000
Pt  0.6261  0.6261  0.0000


A plane-wave DFT calculation with PBE-GGA was carried out for CuB4Pt after structural relaxation.

Space-group type: Immm (71)
Spin magnetization: 0.00 μB/f.u.
Energy relative to the lowest polymorph listed for this composition: 0 meV per atom
E_tot: -5.68 eV per atom

Lattice parameters (Å, degrees): 4.6393 4.6393 4.6393 142.69 111.01 81.15
Fractional coordinates of all 6 atoms:
Cu  0.0000  0.0000  0.0000
B  0.0739  0.7345  0.3394
B  0.3952  0.7345  0.6606
B  0.6048  0.2655  0.3394
B  0.9261  0.2655  0.6606
Pt  0.5000  0.5000  0.0000


Repeat the third record exactly.
A plane-wave DFT calculation with PBE-GGA was carried out for CuB2Pt2 after structural relaxation.

Space-group type: I4/mmm (139)
Spin magnetization: 0.00 μB/f.u.
E_tot: -5.97 eV per atom

Lattice parameters (Å, degrees): 6.2772 6.2772 6.2772 150.82 150.82 41.74
Fractional coordinates of all 5 atoms:
Cu  0.0000  0.0000  0.0000
B  0.2500  0.7500  0.5000
B  0.7500  0.2500  0.5000
Pt  0.3739  0.3739  0.0000
Pt  0.6261  0.6261  0.0000